Entry from the Alexandria database: an optimized crystal structure of Nb5CuS8 (PBE).

Calculated values
DOS at the Fermi energy, states/eV per cell: 14.8
Electronic total energy, eV/cell: -99.111
Volume, Å³/cell: 275
Energy relative to the elements, uncorrected, eV per atom: -0.83
Space-group type: F-43m, No. 216

Lattice parameters (Å, degrees): 7.2963 7.2963 7.2963 60.00 60.00 60.00
Last column: nearest neighbours and their distance in Å.
Atoms (fractional coordinates):
Nb 0.0000 0.0000 0.0000  4 S 2.41
Nb 0.6049 0.6049 0.1852  3 S 2.42
Nb 0.6049 0.6049 0.6049  3 S 2.42
Nb 0.1852 0.6049 0.6049  3 S 2.42
Nb 0.6049 0.1852 0.6049  3 S 2.42
Cu 0.2500 0.2500 0.2500  4 S 2.19
S 0.3728 0.8816 0.3728  1 Cu 2.19, 3 Nb 2.42
S 0.8816 0.3728 0.3728  1 Cu 2.19, 3 Nb 2.42
S 0.3728 0.3728 0.3728  1 Cu 2.19, 3 Nb 2.42
S 0.3728 0.3728 0.8816  1 Cu 2.19, 3 Nb 2.42
S 0.8654 0.8654 0.4038  1 Nb 2.41
S 0.4038 0.8654 0.8654  1 Nb 2.41
S 0.8654 0.8654 0.8654  1 Nb 2.41
S 0.8654 0.4038 0.8654  1 Nb 2.41